# 1
# AcZnCr2O8 PBE with a Hubbard U relaxed
# VASP energy, eV per atom: -6.729
# DOS at the Fermi energy, states/eV/atom: 0.554
data_AcZnCr2O8
_chemical_formula_sum 'Ac1 Zn1 Cr2 O8'
_symmetry_space_group_name_H-M 'P -3 m 1'
_symmetry_Int_Tables_number 164
_symmetry_space_group_name_Hall '-P 3 2"'
_cell_length_a 5.5115
_cell_length_b 5.5115
_cell_length_c 6.9913
_cell_angle_alpha 90.00
_cell_angle_beta 90.00
_cell_angle_gamma 120.00
loop_
_atom_site_label
_atom_site_fract_x
_atom_site_fract_y
_atom_site_fract_z
Ac1 0.0000 0.0000 0.0000
Zn1 0.0000 0.0000 0.5000
Cr1 0.3333 0.6667 0.7668
O1 0.1625 0.3250 0.6995
O2 0.3333 0.6667 0.0064

# 2
# AcZn3Cr4O12 PBE with a Hubbard U relaxed
# VASP energy, eV per atom: -6.633
# DOS at the Fermi energy, states/eV/atom: 0.195
data_AcZn3Cr4O12
_chemical_formula_sum 'Ac2 Zn6 Cr8 O24'
_symmetry_space_group_name_H-M 'I m -3'
_symmetry_Int_Tables_number 204
_symmetry_space_group_name_Hall '-I 2 2 3'
_cell_length_a 7.535
_cell_length_b 7.535
_cell_length_c 7.535
_cell_angle_alpha 90.00
_cell_angle_beta 90.00
_cell_angle_gamma 90.00
loop_
_atom_site_label
_atom_site_fract_x
_atom_site_fract_y
_atom_site_fract_z
Ac1 0.000 0.000 0.000
Zn1 0.000 0.000 0.500
Cr1 0.250 0.250 0.250
O1 0.000 0.186 0.300

# 3
# Ac2ZnCrO6 PBE with a Hubbard U relaxed
# VASP energy, eV per atom: -7.145
# DOS at the Fermi energy, states/eV/atom: 0.005
data_Ac2ZnCrO6
_chemical_formula_sum 'Ac2 Zn1 Cr1 O6'
_symmetry_space_group_name_H-M 'P 4/m m m'
_symmetry_Int_Tables_number 123
_symmetry_space_group_name_Hall '-P 4 2'
_cell_length_a 5.645
_cell_length_b 5.645
_cell_length_c 4.008
_cell_angle_alpha 90.00
_cell_angle_beta 90.00
_cell_angle_gamma 90.00
loop_
_atom_site_label
_atom_site_fract_x
_atom_site_fract_y
_atom_site_fract_z
Ac1 0.000 0.500 0.000
Zn1 0.000 0.000 0.500
Cr1 0.500 0.500 0.500
O1 0.000 0.000 0.000
O2 0.263 0.263 0.500
O3 0.500 0.500 0.000

# 4
# AcZrCr2O8 PBE with a Hubbard U relaxed
# VASP energy, eV per atom: -7.851
data_AcZrCr2O8
_chemical_formula_sum 'Ac2 Zr2 Cr4 O16'
_symmetry_space_group_name_H-M 'I -4 m 2'
_symmetry_Int_Tables_number 119
_symmetry_space_group_name_Hall 'I -4 -2'
_cell_length_a 7.277
_cell_length_b 7.277
_cell_length_c 6.447
_cell_angle_alpha 90.00
_cell_angle_beta 90.00
_cell_angle_gamma 90.00
loop_
_atom_site_label
_atom_site_fract_x
_atom_site_fract_y
_atom_site_fract_z
Ac1 0.000 0.000 0.000
Zr1 0.000 0.500 0.750
Cr1 0.000 0.000 0.500
Cr2 0.000 0.500 0.250
O1 0.000 0.202 0.667
O2 0.000 0.330 0.066

# 5
# AcZrCrO6 PBE with a Hubbard U relaxed
# VASP energy, eV per atom: -8.063
# DOS at the Fermi energy, states/eV/atom: 0.433
data_AcZrCrO6
_chemical_formula_sum 'Ac2 Zr2 Cr2 O12'
_symmetry_space_group_name_H-M 'P -3 1 c'
_symmetry_Int_Tables_number 163
_symmetry_space_group_name_Hall '-P 3 2c'
_cell_length_a 5.3317
_cell_length_b 5.3317
_cell_length_c 10.6634
_cell_angle_alpha 90.00
_cell_angle_beta 90.00
_cell_angle_gamma 120.00
loop_
_atom_site_label
_atom_site_fract_x
_atom_site_fract_y
_atom_site_fract_z
Ac1 0.0000 0.0000 0.0000
Zr1 0.3333 0.6667 0.2500
Cr1 0.3333 0.6667 0.7500
O1 0.0277 0.3881 0.6465

Which formula does entry 4 have?
AcZrCr2O8

Which formula does entry 2 have?
AcZn3Cr4O12

Look up the VASP energy of the fifth one.
-8.063 eV per atom

VASP energy of number 1 (AcZnCr2O8)?
-6.729 eV per atom